Ta4BeB3 | PBE | optimized geometry

Values from the calculation:
symmetry	No. 25
DFT total energy	-76.873	eV/cell
V	11.71	Å³ per atom

Cell lengths 3.2101, 3.3064, 8.8264 Å; angles 90.00, 90.00, 90.00 degrees
Element x y z (fractional)
1 B 0.5000 0.0000 0.0655
2 B 0.0000 0.5000 0.4389
3 B 0.5000 0.5000 0.5590
4 Be 0.0000 0.0000 0.9397
5 Ta 0.0000 0.5000 0.1487
6 Ta 0.5000 0.0000 0.3547
7 Ta 0.0000 0.0000 0.6423
8 Ta 0.5000 0.5000 0.8513

=====

Ta2BeB | PBE | optimized geometry

Values from the calculation:
symmetry	No. 216
DFT total energy	-30.497	eV/cell
V	13.53	Å³ per atom

Cell lengths 4.2453, 4.2453, 4.2453 Å; angles 60.00, 60.00, 60.00 degrees
Element x y z (fractional)
1 B 0.5000 0.5000 0.5000
2 Be 0.2500 0.2500 0.2500
3 Ta 0.0000 0.0000 0.0000
4 Ta 0.7500 0.7500 0.7500

=====

TaBeB4 | PBE | optimized geometry

Values from the calculation:
symmetry	No. 191
DFT total energy	-43.753	eV/cell
V	8.34	Å³ per atom

Cell lengths 2.9778, 2.9778, 6.5135 Å; angles 90.00, 90.00, 120.00 degrees
Element x y z (fractional)
1 B 0.6667 0.3333 0.2291
2 B 0.3333 0.6667 0.2291
3 B 0.6667 0.3333 0.7709
4 B 0.3333 0.6667 0.7709
5 Be 0.0000 0.0000 0.0000
6 Ta 0.0000 0.0000 0.5000

=====

TaBe2B | PBE | optimized geometry

Values from the calculation:
symmetry	No. 216
DFT total energy	-24.237	eV/cell
V	10.24	Å³ per atom

Cell lengths 3.8692, 3.8692, 3.8692 Å; angles 60.00, 60.00, 60.00 degrees
Element x y z (fractional)
1 B 0.5000 0.5000 0.5000
2 Be 0.0000 0.0000 0.0000
3 Be 0.7500 0.7500 0.7500
4 Ta 0.2500 0.2500 0.2500

=====

TaBeB4 | PBE | optimized geometry

Values from the calculation:
symmetry	No. 71
DFT total energy	-43.716	eV/cell
V	8.53	Å³ per atom

Cell lengths 4.4532, 4.4532, 4.4532 Å; angles 140.70, 108.86, 84.42 degrees
Element x y z (fractional)
1 B 0.5887 0.2541 0.3346
2 B 0.0804 0.7459 0.3346
3 B 0.9196 0.2541 0.6654
4 B 0.4113 0.7459 0.6654
5 Be 0.0000 0.0000 0.0000
6 Ta 0.5000 0.5000 0.0000

=====

TbBeB4 | PBE | optimized geometry

Values from the calculation:
symmetry	No. 71
DFT total energy	-35.222	eV/cell
V	10.42	Å³ per atom

Cell lengths 4.8698, 4.8698, 4.8698 Å; angles 142.09, 115.46, 77.36 degrees
Element x y z (fractional)
1 B 0.5840 0.2586 0.3255
2 B 0.0669 0.7415 0.3255
3 B 0.9331 0.2586 0.6745
4 B 0.4160 0.7415 0.6745
5 Be 0.5000 0.5000 0.0000
6 Tb 0.0000 0.0000 0.0000